Entry 1:
A plane-wave DFT calculation with GGA-PBE was carried out for a relaxed structure of MgTiO.

a = 5.433 Å, b = 5.433 Å, c = 6.040 Å
α = 119.50°, β = 119.50°, γ = 34.02°
Sites, in units of the cell vectors:
Mg1 0.000 0.000 0.000
Mg2 0.245 0.245 0.917
Ti1 0.517 0.517 0.440
Ti2 0.774 0.774 0.399
O1 0.010 0.010 0.643
O2 0.760 0.760 0.711

## Properties
Formation energy from raw total energies ... -1.52 eV/atom

***

Entry 2:
A plane-wave DFT calculation with GGA-PBE was carried out for a relaxed structure of Ir2SeCl.

a = 5.183 Å, b = 5.183 Å, c = 2.900 Å
α = 103.56°, β = 103.56°, γ = 112.70°
Sites, in units of the cell vectors:
Ir1 0.000 0.500 0.000
Ir2 0.500 0.000 0.000
Se1 0.000 0.000 0.000
Cl1 0.500 0.500 0.000

## Properties
Formation energy from raw total energies ... 0.76 eV/atom

***

Entry 3:
A plane-wave DFT calculation with GGA-PBE was carried out for a relaxed structure of Ac2La8Sm3.

a = 8.972 Å, b = 8.972 Å, c = 7.337 Å
α = 105.40°, β = 105.40°, γ = 64.09°
Sites, in units of the cell vectors:
Ac1 0.221 0.221 0.413
Ac2 0.779 0.779 0.587
La1 0.189 0.189 0.880
La2 0.195 0.560 0.836
La3 0.422 0.422 0.285
La4 0.440 0.805 0.164
La5 0.560 0.195 0.836
La6 0.578 0.578 0.715
La7 0.805 0.440 0.164
La8 0.811 0.811 0.120
Sm1 0.000 0.000 0.000
Sm2 0.171 0.829 0.500
Sm3 0.829 0.171 0.500

***

| no. | E_tot (hartree per atom) | energy above the most stable polymorph in this dataset (meV/atom) |
| --- | --- | --- |
| 1 | -0.233 | 52.5 |
| 2 | -0.184 | 732.0 |
| 3 | -0.168 | 0.0 |